{
  "formula": "NbInW2O",
  "functional": "GGA+U",
  "state": "optimized geometry",
  "lattice_angstrom": [[4.119, 0.000, 0.000], [0.000, 4.119, 0.000], [0.000, 0.000, 4.957]],
  "species": ["Nb", "In", "W", "W", "O"],
  "fractional_positions": [[0.000, 0.000, 0.000], [0.500, 0.500, 0.000], [0.000, 0.500, 0.500], [0.500, 0.000, 0.500], [0.500, 0.500, 0.500]],
  "e_tot_ev_per_cell": -30.26
}